(1)
The following is a DFT calculation (PBE-GGA) of KCrPAu after structural relaxation.

Summary:
formation enthalpy at 0 K: -33 kJ/mol of atoms
DFT total energy: -5.20 eV/atom

```
8
Lattice="-3.538 1.640 0.655 0.138 -1.205 3.763 5.369 10.342 3.115" Properties=species:S:1:pos:R:3 pbc="T T T"
P 2.276 9.621 6.113
P -0.306 1.155 1.420
Au 1.904 4.677 4.543
Au 0.066 6.099 2.989
K -1.126 3.067 4.139
K 3.096 7.709 3.394
Cr -2.619 0.928 1.432
Cr -0.781 -0.494 2.986
```

(2)
The following is a DFT calculation (PBE-GGA) of EuLuPuTl after structural relaxation.

Summary:
formation enthalpy at 0 K: 12 kJ/mol of atoms
DFT total energy: -7.75 eV/atom

```
4
Lattice="-2.211 -4.276 -2.626 3.000 -4.495 -0.931 -1.081 -4.632 2.729" Properties=species:S:1:pos:R:3 pbc="T T T"
Lu -0.073 -3.351 -0.207
Tl 0.000 0.000 0.000
Eu -0.219 -10.052 -0.621
Pu -0.146 -6.702 -0.414
```

(3)
The following is a DFT calculation (PBE-GGA) of Co2PBr after structural relaxation.

Summary:
DFT total energy: -5.17 eV/atom

```
4
Lattice="-0.102 2.487 -2.218 2.022 -1.717 -2.018 -5.391 -2.047 -2.047" Properties=species:S:1:pos:R:3 pbc="T T T"
Co 1.440 -1.811 -2.096
Co -1.102 -1.789 -1.955
P -0.893 0.302 -2.125
Br -2.577 -1.580 -4.158
```

(4)
The following is a DFT calculation (PBE-GGA) of Si2GeIr2 after structural relaxation.

Summary:
DFT total energy: -6.95 eV/atom

```
10
Lattice="-1.761 7.051 -0.857 -4.770 -0.520 5.525 1.980 0.710 1.776" Properties=species:S:1:pos:R:3 pbc="T T T"
Ir -1.827 4.472 0.248
Ir -4.582 5.694 2.830
Ir -1.949 0.837 1.838
Ir -4.705 2.059 4.420
Ge -3.266 3.265 2.334
Ge 0.000 0.000 0.000
Si -4.214 4.485 5.037
Si -2.187 6.176 2.101
Si -2.365 1.065 4.344
Si -0.338 2.756 1.407
```